[1]
DFT (PBE with a Hubbard U) results for a relaxed V2ZnCuF crystal.

abc: 4.871 4.871 4.470
angles: 90.00 90.00 90.00
Fractional positions:
V: 0.000 0.500 0.000
V: 0.500 0.000 0.000
Zn: 0.000 0.000 0.500
Cu: 0.000 0.000 0.000
F: 0.500 0.500 0.500

N(E_F) = 4.7 states/eV/cell
SG = No. 123
DFT total energy = -0.2716 Ry/atom

[2]
DFT (PBE with a Hubbard U) results for a relaxed CuW2F crystal.

abc: 5.529 5.529 5.529
angles: 107.27 107.27 113.98
Fractional positions:
Cu: 0.000 0.000 0.000
Cu: 0.750 0.250 0.500
W: 0.176 0.625 0.051
W: 0.375 0.426 0.551
W: 0.574 0.125 0.949
W: 0.875 0.824 0.449
F: 0.250 0.750 0.500
F: 0.500 0.500 0.000

N(E_F) = 3.6 states/eV/cell
SG = No. 122
DFT total energy = -0.3127 Ry/atom

[3]
DFT (PBE with a Hubbard U) results for a relaxed Cu2WF crystal.

abc: 5.556 5.556 5.556
angles: 99.73 99.73 131.46
Fractional positions:
Cu: 0.092 0.625 0.967
Cu: 0.375 0.342 0.467
Cu: 0.658 0.125 0.033
Cu: 0.875 0.908 0.533
W: 0.250 0.750 0.500
W: 0.500 0.500 0.000
F: 0.000 0.000 0.000
F: 0.750 0.250 0.500

N(E_F) = 1.0 states/eV/cell
SG = No. 122
DFT total energy = -0.3128 Ry/atom

[4]
DFT (PBE with a Hubbard U) results for a relaxed CuWF6 crystal.

abc: 5.173 5.187 5.619
angles: 90.43 116.94 119.54
Fractional positions:
Cu: 0.000 0.000 0.000
W: 0.000 0.500 0.500
F: 0.129 0.740 0.251
F: 0.134 0.878 0.751
F: 0.485 0.610 0.747
F: 0.515 0.390 0.253
F: 0.866 0.122 0.249
F: 0.871 0.260 0.749

N(E_F) = 5.3 states/eV/cell
SG = No. 2
DFT total energy = -0.3722 Ry/atom

[5]
DFT (PBE with a Hubbard U) results for a relaxed Cu2WF crystal.

abc: 4.337 4.337 4.337
angles: 60.00 60.00 60.00
Fractional positions:
Cu: 0.250 0.250 0.250
Cu: 0.750 0.750 0.750
W: 0.000 0.000 0.000
F: 0.500 0.500 0.500

N(E_F) = 2.1 states/eV/cell
SG = No. 225
DFT total energy = -0.2733 Ry/atom

[6]
DFT (PBE with a Hubbard U) results for a relaxed CuW2F crystal.

abc: 4.280 4.280 4.280
angles: 60.00 60.00 60.00
Fractional positions:
Cu: 0.000 0.000 0.000
W: 0.250 0.250 0.250
W: 0.750 0.750 0.750
F: 0.500 0.500 0.500

N(E_F) = 1.9 states/eV/cell
SG = No. 225
DFT total energy = -0.3124 Ry/atom

[7]
DFT (PBE with a Hubbard U) results for a relaxed ZrCuWF2 crystal.

abc: 4.105 4.105 5.507
angles: 90.00 90.00 90.00
Fractional positions:
Zr: 0.000 0.000 0.000
Cu: 0.000 0.000 0.500
W: 0.500 0.500 0.500
F: 0.000 0.500 0.000
F: 0.500 0.000 0.000

N(E_F) = 2.4 states/eV/cell
SG = No. 123
DFT total energy = -0.4121 Ry/atom